# 1
DFT (PBE) results for a relaxed structure of Hf2MnFe. Values from VASP.

The structure in Quantum ESPRESSO input format:
```
&SYSTEM
  ibrav = 0, nat = 8, ntyp = 3
/
ATOMIC_SPECIES
Hf 178.49 Hf.upf
Mn 54.94 Mn.upf
Fe 55.84 Fe.upf
ATOMIC_POSITIONS angstrom
Hf 0.0000 0.0000 2.4497
Hf 0.0000 0.0000 11.6012
Hf 1.5915 1.5915 4.5757
Hf 1.5915 1.5915 9.4752
Mn 0.0000 0.0000 7.0255
Mn 1.5915 1.5915 0.0000
Fe 0.0000 0.0000 0.0000
Fe 1.5915 1.5915 7.0255
CELL_PARAMETERS angstrom
3.1830 0.0000 0.0000
0.0000 3.1830 0.0000
0.0000 0.0000 14.0509
```

Computed properties:
space-group type: I4/mmm, No. 139
DOS(E_F): 1.24 states/eV per atom
formation energy from the elements: 412.9 meV per atom

=====

# 2
DFT (PBE) results for a relaxed structure of SrGeRu2. Values from VASP.

The structure in Quantum ESPRESSO input format:
```
&SYSTEM
  ibrav = 0, nat = 16, ntyp = 3
/
ATOMIC_SPECIES
Sr 87.62 Sr.upf
Ge 72.64 Ge.upf
Ru 101.07 Ru.upf
ATOMIC_POSITIONS angstrom
Sr 0.0000 0.0000 0.0000
Sr 0.0000 2.3982 4.2935
Sr 2.3982 0.0000 12.8805
Sr 2.3982 2.3982 8.5870
Ge 0.0000 0.0000 8.5870
Ge 0.0000 2.3982 12.8805
Ge 2.3982 0.0000 4.2935
Ge 2.3982 2.3982 0.0000
Ru 0.1279 1.1991 10.7338
Ru 1.1991 2.5261 15.0273
Ru 1.1991 4.6685 6.4403
Ru 2.2703 1.1991 2.1468
Ru 2.5261 3.5973 2.1468
Ru 3.5973 0.1279 6.4403
Ru 3.5973 2.2703 15.0273
Ru 4.6685 3.5973 10.7338
CELL_PARAMETERS angstrom
4.7964 0.0000 0.0000
0.0000 4.7964 0.0000
0.0000 0.0000 17.1740
```

Computed properties:
space-group type: I-42d, No. 122
DOS(E_F): 0.87 states/eV per atom
formation energy from the elements: 226.3 meV per atom